Entry 1:
Entry from the Open Quantum Materials Database: an optimized crystal structure of NaBeBiPd (GGA-PBE).

Unit cell a=4.7407 b=4.7407 c=4.7407 alpha=60.00 beta=60.00 gamma=60.00
Positions (direct):
Na  0.0000  0.0000  0.0000
Be  0.7500  0.7500  0.7500
Bi  0.5000  0.5000  0.5000
Pd  0.2500  0.2500  0.2500

Energy above the lowest structure with this stoichiometry, eV per atom: 0.022
Raw total energy, eV per atom: -3.3998
Space group: F-43m



Entry 2:
Entry from the Open Quantum Materials Database: an optimized crystal structure of Hf4C3 (GGA-PBE).

Unit cell a=10.7969 b=10.7969 c=10.7969 alpha=17.56 beta=17.56 gamma=17.56
Positions (direct):
Hf  0.1224  0.1224  0.1224
Hf  0.2927  0.2927  0.2927
Hf  0.7073  0.7073  0.7073
Hf  0.8776  0.8776  0.8776
C  0.0000  0.0000  0.0000
C  0.4190  0.4190  0.4190
C  0.5810  0.5810  0.5810

Raw total energy, eV per atom: -10.4772
Space group: R-3m



Entry 3:
Entry from the Open Quantum Materials Database: an optimized crystal structure of KBaNdTe3 (GGA-PBE).

Unit cell a=8.2139 b=8.2139 c=12.0468 alpha=90.00 beta=90.00 gamma=145.02
Positions (direct):
K  0.0260  0.9740  0.7500
K  0.9740  0.0260  0.2500
Ba  0.2486  0.7514  0.2500
Ba  0.7514  0.2486  0.7500
Nd  0.5000  0.5000  0.0000
Nd  0.5000  0.5000  0.5000
Te  0.1390  0.8610  0.5327
Te  0.1390  0.8610  0.9673
Te  0.4049  0.5951  0.7500
Te  0.5951  0.4049  0.2500
Te  0.8610  0.1390  0.0327
Te  0.8610  0.1390  0.4673

Raw total energy, eV per atom: -4.1093
Space group: Cmcm



Entry 4:
Entry from the Open Quantum Materials Database: an optimized crystal structure of ZrReSi (GGA-PBE).

Unit cell a=7.1968 b=7.1968 c=3.3873 alpha=90.00 beta=90.00 gamma=120.00
Positions (direct):
Zr  0.0000  0.6017  0.0000
Zr  0.3983  0.3983  0.0000
Zr  0.6017  0.0000  0.0000
Re  0.0000  0.0000  0.0000
Re  0.3333  0.6667  0.5000
Re  0.6667  0.3333  0.5000
Si  0.0000  0.2710  0.5000
Si  0.2710  0.0000  0.5000
Si  0.7290  0.7290  0.5000

Raw total energy, eV per atom: -9.1716
Space group: P-62m



Entry 5:
Entry from the Open Quantum Materials Database: an optimized crystal structure of LaSm2Sn7 (GGA-PBE).

Unit cell a=13.0194 b=13.0194 c=4.6710 alpha=90.00 beta=90.00 gamma=159.66
Positions (direct):
La  0.0000  0.0000  0.0000
Sm  0.1863  0.8137  0.0000
Sm  0.8137  0.1863  0.0000
Sn  0.0972  0.9028  0.5000
Sn  0.2907  0.7093  0.5000
Sn  0.4034  0.5966  0.0000
Sn  0.5000  0.5000  0.5000
Sn  0.5966  0.4034  0.0000
Sn  0.7093  0.2907  0.5000
Sn  0.9028  0.0972  0.5000

Raw total energy, eV per atom: -4.8468
Space group: Cmmm



Entry 6:
Entry from the Open Quantum Materials Database: an optimized crystal structure of NaAlCo (GGA-PBE).

Unit cell a=4.2576 b=4.2576 c=4.2576 alpha=60.00 beta=60.00 gamma=60.00
Positions (direct):
Na  0.0000  0.0000  0.0000
Al  0.5000  0.5000  0.5000
Co  0.7500  0.7500  0.7500

Energy above the lowest structure with this stoichiometry, eV per atom: 0.000
Raw total energy, eV per atom: -3.4374
Space group: F-43m



Entry 7:
Entry from the Open Quantum Materials Database: an optimized crystal structure of LiPaZn (GGA-PBE).

Unit cell a=4.7024 b=4.7024 c=4.7024 alpha=60.00 beta=60.00 gamma=60.00
Positions (direct):
Li  0.0000  0.0000  0.0000
Pa  0.2500  0.2500  0.2500
Zn  0.5000  0.5000  0.5000

Energy above the lowest structure with this stoichiometry, eV per atom: 0.483
Raw total energy, eV per atom: -3.1816
Space group: F-43m



Entry 8:
Entry from the Open Quantum Materials Database: an optimized crystal structure of CuHg2Bi (GGA-PBE).

Unit cell a=5.0895 b=5.0895 c=5.0895 alpha=60.00 beta=60.00 gamma=60.00
Positions (direct):
Cu  0.0000  0.0000  0.0000
Hg  0.5000  0.5000  0.5000
Hg  0.7500  0.7500  0.7500
Bi  0.2500  0.2500  0.2500

Raw total energy, eV per atom: -1.7643
Space group: F-43m



Entry 9:
Entry from the Open Quantum Materials Database: an optimized crystal structure of TePdNO (GGA-PBE).

Unit cell a=6.2750 b=7.7000 c=5.2892 alpha=90.00 beta=90.00 gamma=90.00
Positions (direct):
Te  0.0737  0.1730  0.0000
Te  0.4263  0.1730  0.5000
Te  0.5737  0.8270  0.0000
Te  0.9263  0.8270  0.5000
Pd  0.0695  0.5395  0.7996
Pd  0.4305  0.5395  0.2996
Pd  0.5695  0.4605  0.7996
Pd  0.9305  0.4605  0.2996
N  0.1457  0.6410  0.4429
N  0.3543  0.6410  0.9429
N  0.6457  0.3590  0.4429
N  0.8543  0.3590  0.9429
O  0.0960  0.0069  0.6779
O  0.4040  0.0069  0.1779
O  0.5960  0.9931  0.6779
O  0.9040  0.9931  0.1779

Energy above the lowest structure with this stoichiometry, eV per atom: 0.027
Raw total energy, eV per atom: -5.1666
Space group: Pca2_1



Entry 10:
Entry from the Open Quantum Materials Database: an optimized crystal structure of SrHfPb2 (GGA-PBE).

Unit cell a=5.5205 b=5.5205 c=5.5205 alpha=60.00 beta=60.00 gamma=60.00
Positions (direct):
Sr  0.0000  0.0000  0.0000
Hf  0.2500  0.2500  0.2500
Pb  0.5000  0.5000  0.5000
Pb  0.7500  0.7500  0.7500

Raw total energy, eV per atom: -4.3454
Space group: F-43m



Entry 11:
Entry from the Open Quantum Materials Database: an optimized crystal structure of CsEr (GGA-PBE).

Unit cell a=6.1942 b=6.1942 c=6.1942 alpha=60.00 beta=60.00 gamma=60.00
Positions (direct):
Cs  0.0000  0.0000  0.0000
Er  0.7500  0.7500  0.7500

Energy above the lowest structure with this stoichiometry, eV per atom: 0.441
Raw total energy, eV per atom: -0.8937
Space group: F-43m



Entry 12:
Entry from the Open Quantum Materials Database: an optimized crystal structure of CsGdFeTe3 (GGA-PBE).

Unit cell a=8.9287 b=8.9287 c=11.5750 alpha=90.00 beta=90.00 gamma=151.38
Positions (direct):
Cs  0.2449  0.7551  0.7500
Cs  0.7551  0.2449  0.2500
Gd  0.5000  0.5000  0.0000
Gd  0.5000  0.5000  0.5000
Fe  0.0311  0.9689  0.2500
Fe  0.9689  0.0311  0.7500
Te  0.1187  0.8813  0.0646
Te  0.1187  0.8813  0.4354
Te  0.4395  0.5605  0.2500
Te  0.5605  0.4395  0.7500
Te  0.8813  0.1187  0.5646
Te  0.8813  0.1187  0.9354

Energy above the lowest structure with this stoichiometry, eV per atom: 0.010
Raw total energy, eV per atom: -4.7676
Space group: Cmcm